# LiScHg2, optimized geometry, DFT GGA-PBE
data_LiScHg2
_chemical_formula_sum 'Li1 Sc1 Hg2'
_space_group_name_H-M_alt 'P 1'
_space_group_IT_number 1
_cell_length_a 4.839
_cell_length_b 4.839
_cell_length_c 4.839
_cell_angle_alpha 60.00
_cell_angle_beta 60.00
_cell_angle_gamma 60.00
loop_
_space_group_symop_operation_xyz
'x,y,z'
loop_
_atom_site_label
_atom_site_type_symbol
_atom_site_fract_x
_atom_site_fract_y
_atom_site_fract_z
Hg1 Hg 0.250 0.250 0.250
Hg2 Hg 0.750 0.750 0.750
Sc1 Sc 0.500 0.500 0.500
Li1 Li 0.000 0.000 0.000
# D(E_F): 0.69 states/eV/atom
# VASP energy: -10.4 eV for the cell shown
# ΔE_f: -0.40 eV per atom
# V: 20.03 A^3/atom
# Polymorph energy (0 for the lowest one): 0 meV/atom
# Density: 9.4 g/cm3